DFT (PBE+U) results for a relaxed GaWNO2 crystal.

- Total magnetic moment: 0.00 μB per cell
- VASP energy: -6.528 eV per atom
- DOS(E_F): 0.729 states/eV/cell
- Calculated density: 7.8 Mg/m³

Cell lengths 3.9751, 3.9751, 4.0194 Å; angles 90.00, 90.00, 90.00 degrees
Atoms (fractional coordinates):
N: 0.0000 0.0000 0.5000
W: 0.0000 0.0000 0.0000
O: 0.0000 0.5000 0.0000
O: 0.5000 0.0000 0.0000
Ga: 0.5000 0.5000 0.5000